No. 1
First-principles (PBE) data for a relaxed LiTe2Pd7 crystal, as listed in Alexandria via LeMat-Bulk.

Lattice parameters (Å, degrees): 4.0066 4.0066 11.5406 100.00 100.00 90.00
Sites, in units of the cell vectors:
Pd 0.2500 0.7500 0.5000
Pd 0.9146 0.4146 0.8292
Pd 0.5000 0.5000 0.0000
Pd 0.7500 0.2500 0.5000
Pd 0.0854 0.5854 0.1708
Pd 0.5854 0.0854 0.1708
Li 0.0000 0.0000 0.0000
Te 0.3353 0.3353 0.6707
Te 0.6647 0.6647 0.3293
Pd 0.4146 0.9146 0.8292

## Properties
Total magnetic moment in Bohr magnetons per cell: 0.00
VASP energy in eV/atom: -4.7351

No. 2
First-principles (PBE) data for a relaxed Li6TePd10 crystal, as listed in Alexandria via LeMat-Bulk.

Lattice parameters (Å, degrees): 5.3443 7.3254 7.3254 120.00 90.00 90.00
Sites, in units of the cell vectors:
Pd 0.1892 0.7155 0.0000
Pd 0.8108 0.2845 0.0000
Te 0.5000 0.0000 0.0000
Pd 0.0000 0.3333 0.6667
Li 0.7047 0.0000 0.6218
Li 0.2953 0.3782 0.0000
Li 0.2953 0.6218 0.6218
Pd 0.5000 0.6667 0.3333
Pd 0.8108 0.7155 0.7155
Pd 0.1892 0.2845 0.2845
Li 0.7047 0.6218 0.0000
Pd 0.1892 0.0000 0.7155
Pd 0.5000 0.3333 0.6667
Li 0.7047 0.3782 0.3782
Pd 0.8108 0.0000 0.2845
Pd 0.0000 0.6667 0.3333
Li 0.2953 0.0000 0.3782

## Properties
Total magnetic moment in Bohr magnetons per cell: 0.00
VASP energy in eV/atom: -4.2861

No. 3
First-principles (PBE) data for a relaxed Li2TePd2 crystal, as listed in Alexandria via LeMat-Bulk.

Lattice parameters (Å, degrees): 7.1703 7.1703 3.1137 90.00 90.00 90.00
Sites, in units of the cell vectors:
Te 0.5000 0.5000 0.0000
Te 0.0000 0.0000 0.0000
Pd 0.6645 0.8355 0.5000
Li 0.8701 0.6299 0.0000
Li 0.3701 0.8701 0.0000
Li 0.6299 0.1299 0.0000
Pd 0.1645 0.6645 0.5000
Li 0.1299 0.3701 0.0000
Pd 0.3355 0.1645 0.5000
Pd 0.8355 0.3355 0.5000

## Properties
Excess energy over the best structure of this formula in the dataset in meV per atom: 83
Total magnetic moment in Bohr magnetons per cell: 0.00